DFT (GGA-PBE) results for a relaxed structure of Li5I4O.

Total DFT energy (no corrections) ... -32.26 eV for the cell shown
Magnetization ... 0.00 Bohr magnetons per cell

Lattice parameters (Å, degrees): 5.910 6.994 6.994 79.72 65.01 65.01
Atoms (fractional coordinates):
Li  0.803  0.135  0.266
Li  0.068  0.734  0.135
Li  0.372  0.000  0.000
Li  0.937  0.266  0.865
Li  0.203  0.865  0.734
I  0.626  0.593  0.192
I  0.219  0.192  0.407
I  0.411  0.407  0.808
I  0.818  0.808  0.593
O  0.053  0.000  0.000

***

DFT (GGA-PBE) results for a relaxed structure of PmPr6Nd3.

Total DFT energy (no corrections) ... -45.57 eV for the cell shown
Magnetization ... 0.00 Bohr magnetons per cell
E_form ... 0.216 eV/atom

Lattice parameters (Å, degrees): 10.180 10.180 7.126 44.41 44.41 60.00
Atoms (fractional coordinates):
Pr  0.426  0.774  0.700
Pr  0.100  0.426  0.700
Pr  0.774  0.100  0.700
Pr  0.601  0.274  0.200
Pr  0.926  0.601  0.200
Pr  0.274  0.926  0.200
Pm  0.850  0.850  0.450
Nd  0.350  0.350  0.950
Nd  0.100  0.100  0.701
Nd  0.600  0.600  0.199

***

DFT (GGA-PBE) results for a relaxed structure of MgZrHg2.

Total DFT energy (no corrections) ... -9.57 eV for the cell shown
Magnetization ... 0.00 Bohr magnetons per cell
E_form ... 0.293 eV/atom

Lattice parameters (Å, degrees): 6.677 6.677 6.677 57.69 153.69 129.65
Atoms (fractional coordinates):
Zr  0.000  0.500  0.500
Mg  0.000  0.000  0.000
Hg  0.000  0.752  0.752
Hg  0.000  0.248  0.248

***

The highest total DFT energy (no corrections) belongs to which entry?
MgZrHg2

***

Number 2 is which compound?
PmPr6Nd3

***

What is the magnetization in the third record?
0.00 Bohr magnetons per cell